1.
ScAlCu: single point on PBEsol structure, SCAN.

a b c (Å): 8.2709 5.1391 5.1391
angles (deg): 61.08 90.00 90.00
Last column: nearest neighbours and their distance in Å.
Sites, in units of the cell vectors:
1 Sc 0.1809 0.0000 0.0000  5 Al 2.95-3.06, 7 Cu 2.97-3.03, 4 Sc 2.99-3.16
2 Sc 0.3006 0.3326 0.3326  5 Cu 2.87-3.09, 7 Al 3.02-3.08, 3 Sc 3.11-3.16
3 Sc 0.6994 0.3326 0.3326  5 Cu 2.87-3.09, 7 Al 3.02-3.08, 3 Sc 3.11-3.16
4 Sc 0.8191 0.0000 0.0000  5 Al 2.95-3.06, 7 Cu 2.97-3.03, 4 Sc 2.99-3.16
5 Al 0.2381 0.6712 0.6712  4 Cu 2.50-2.59, 2 Al 2.68
6 Al 0.5000 0.3195 0.8325  2 Cu 2.51-2.63, 4 Al 2.54-2.68
7 Al 0.5000 0.8325 0.3195  2 Cu 2.51-2.63, 4 Al 2.54-2.68
8 Al 0.7619 0.6712 0.6712  4 Cu 2.50-2.59, 2 Al 2.68
9 Cu 0.0000 0.0121 0.4941  2 Al 2.50, 4 Cu 2.50-2.71
10 Cu 0.0000 0.4941 0.0121  2 Al 2.50, 4 Cu 2.50-2.71
11 Cu 0.0000 0.4968 0.4968  4 Cu 2.50-2.64, 2 Al 2.50
12 Cu 0.5000 0.8317 0.8317  6 Al 2.51-2.63

Output
Total magnetization   0.2 Bohr magnetons per cell
E_tot   -154.6 eV per cell
D(E_F)   0.63 states/eV per atom
V   15.93 Å³ per atom


2.
ScAl2Cu: single point on PBEsol structure, SCAN.

a b c (Å): 3.9834 3.9834 4.0010
angles (deg): 90.00 90.00 90.00
Last column: nearest neighbours and their distance in Å.
Sites, in units of the cell vectors:
1 Sc 0.0000 0.0000 0.0000  4 Cu 2.82, 8 Al 2.82
2 Al 0.0000 0.5000 0.5000  4 Al 2.82, 4 Cu 2.82, 4 Sc 2.82
3 Al 0.5000 0.0000 0.5000  4 Al 2.82, 4 Cu 2.82, 4 Sc 2.82
4 Cu 0.5000 0.5000 0.0000  4 Sc 2.82, 8 Al 2.82

Output
Total magnetization   0.0 Bohr magnetons per cell
E_tot   -46.5 eV per cell
D(E_F)   0.45 states/eV per atom
V   15.87 Å³ per atom


3.
Al2Cu3Se6: single point on PBEsol structure, SCAN.

a b c (Å): 16.8186 16.8186 16.8186
angles (deg): 161.69 161.69 26.01
Last column: nearest neighbours and their distance in Å.
Sites, in units of the cell vectors:
1 Al 0.1711 0.1711 0.0000  4 Se 2.38-2.43
2 Al 0.5789 0.0789 0.5000  4 Se 2.38-2.43
3 Al 0.8289 0.8289 0.0000  4 Se 2.38-2.43
4 Al 0.9211 0.4211 0.5000  4 Se 2.38-2.43
5 Cu 0.0000 0.0000 0.0000  4 Se 2.37
6 Cu 0.0812 0.5812 0.5000  4 Se 2.34-2.36
7 Cu 0.3312 0.3312 0.0000  4 Se 2.34-2.36
8 Cu 0.4188 0.9188 0.5000  4 Se 2.34-2.36
9 Cu 0.6688 0.6688 0.0000  4 Se 2.34-2.36
10 Cu 0.7500 0.2500 0.5000  4 Se 2.37
11 Se 0.0624 0.0256 0.5134  2 Cu 2.34-2.37, 1 Al 2.38
12 Se 0.1288 0.6250 0.0038  2 Cu 2.36, 2 Al 2.43
13 Se 0.2379 0.2244 0.5369  2 Cu 2.34-2.37, 1 Al 2.38
14 Se 0.2990 0.7621 0.9866  2 Cu 2.34-2.37, 1 Al 2.38
15 Se 0.3750 0.3788 0.5038  2 Cu 2.36, 2 Al 2.43
16 Se 0.4510 0.9376 0.9631  2 Cu 2.34-2.37, 1 Al 2.38
17 Se 0.5121 0.5490 0.4866  2 Cu 2.34-2.37, 1 Al 2.38
18 Se 0.6212 0.1250 0.9962  2 Cu 2.36, 2 Al 2.43
19 Se 0.6876 0.7010 0.4631  2 Cu 2.34-2.37, 1 Al 2.38
20 Se 0.7756 0.3124 0.0134  2 Cu 2.34-2.37, 1 Al 2.38
21 Se 0.8750 0.8712 0.4962  2 Cu 2.36, 2 Al 2.43
22 Se 0.9744 0.4879 0.0369  2 Cu 2.34-2.37, 1 Al 2.38

Output
Total magnetization   0.0 Bohr magnetons per cell
E_form (uncorrected)   -460 meV/atom
E_tot   -373.3 eV per cell
D(E_F)   0.65 states/eV per atom
V   21.34 Å³ per atom